Density functional theory data (PBE) for PmCu2Hg after structural relaxation.

POSCAR file:
```
PmCu2Hg
1.0
-1.129 -1.247 -2.993
3.279 -3.809 0.350
-3.960 -2.046 2.347
Cu Hg Pm
2 1 1
Cartesian
0.644 -2.819 -1.038
0.393 -4.977 -0.044
-1.662 -3.367 0.061
3.214 -3.793 0.368
```

**DOS at the Fermi energy**: 2.60 states/eV/f.u.
**Electronic total energy**: -0.122 hartree per atom
**Theoretical density**: 9.14 g cm⁻³
**Excess energy over the best structure of this formula in the dataset**: 0.1601 eV per atom